## AlRuCl2 (PBE-GGA)

Data for an optimized crystal structure of AlRuCl2.

Cell and atoms, written as POSCAR:
```
AlRuCl2
1.0
2.022 0.000 8.645
-1.011 1.751 8.645
-1.011 -1.751 8.645
Cl Al Ru
2 1 1
Cartesian
0.000 0.000 22.917
0.000 0.000 3.018
0.000 0.000 0.000
0.000 0.000 12.968
```

## Properties
energy above the lowest structure with this stoichiometry: 688 meV per atom
formation energy from raw total energies: 18.63 kJ/mol of atoms
symmetry: No. 166
uncorrected energy: -0.146 Ha/atom

---

## Al4RuCl (PBE-GGA)

Data for an optimized crystal structure of Al4RuCl.

Cell and atoms, written as POSCAR:
```
Al4RuCl
1.0
2.271 -2.997 3.631
-0.141 1.425 5.027
-2.941 -2.676 3.394
Ru Al Cl
1 4 1
Cartesian
0.000 0.000 0.000
-0.303 -1.589 4.508
-0.375 -0.870 7.041
-1.785 -2.937 6.218
0.841 -3.099 6.337
-0.608 -3.186 9.039
```

## Properties
formation energy from raw total energies: 27.87 kJ/mol of atoms
symmetry: No. 216
uncorrected energy: -0.149 Ha/atom

---

## AlRuCl2 (PBE-GGA)

Data for an optimized crystal structure of AlRuCl2.

Cell and atoms, written as POSCAR:
```
AlRuCl2
1.0
4.186 0.000 0.000
0.000 4.186 0.000
2.093 2.093 8.113
Al Ru Cl
2 2 4
Cartesian
2.093 2.093 0.000
2.093 4.186 4.057
4.186 2.093 4.057
0.000 0.000 0.000
1.016 3.140 2.028
3.140 3.109 6.085
3.171 1.047 2.028
5.233 5.264 6.085
```

## Properties
energy above the lowest structure with this stoichiometry: 746 meV per atom
formation energy from raw total energies: 24.24 kJ/mol of atoms
symmetry: No. 122
uncorrected energy: -0.144 Ha/atom

---

## AlRuCl2 (PBE-GGA)

Data for an optimized crystal structure of AlRuCl2.

Cell and atoms, written as POSCAR:
```
AlRuCl2
1.0
-0.300 1.290 9.097
-3.430 1.302 8.430
-1.899 -1.473 8.874
Cl Al Ru
2 1 1
Cartesian
-1.238 0.246 5.805
-0.170 0.034 0.796
-4.269 0.848 20.019
-2.768 0.550 12.981
```

## Properties
energy above the lowest structure with this stoichiometry: 41 meV per atom
formation energy from raw total energies: -43.80 kJ/mol of atoms
symmetry: No. 160
uncorrected energy: -0.170 Ha/atom

---

## AlRuCl2 (PBE-GGA)

Data for an optimized crystal structure of AlRuCl2.

Cell and atoms, written as POSCAR:
```
AlRuCl2
1.0
-2.662 -1.203 -3.027
2.584 -1.011 -1.871
-0.311 -4.418 2.029
Cl Ru Al
2 1 1
Cartesian
0.078 -0.080 -0.037
1.058 -2.634 0.116
-0.763 -1.959 -1.474
0.374 -4.673 -1.394
```

## Properties
energy above the lowest structure with this stoichiometry: 670 meV per atom
formation energy from raw total energies: 16.91 kJ/mol of atoms
symmetry: No. 10
uncorrected energy: -0.147 Ha/atom

---

## AlRuCl2 (PBE-GGA)

Data for an optimized crystal structure of AlRuCl2.

Cell and atoms, written as POSCAR:
```
AlRuCl2
1.0
-3.317 3.305 2.193
3.099 -2.025 3.610
1.696 2.448 1.527
Cl Ru Al
2 1 1
Cartesian
0.000 0.000 0.000
-0.109 0.640 2.901
-0.811 2.877 1.860
2.397 0.211 2.569
```

## Properties
energy above the lowest structure with this stoichiometry: 747 meV per atom
formation energy from raw total energies: 24.28 kJ/mol of atoms
symmetry: No. 12
uncorrected energy: -0.144 Ha/atom

---

## AlRu4Cl (PBE-GGA)

Data for an optimized crystal structure of AlRu4Cl.

Cell and atoms, written as POSCAR:
```
AlRu4Cl
1.0
0.603 -4.871 1.678
-1.450 -1.283 4.812
-4.151 -3.021 0.739
Ru Cl Al
4 1 1
Cartesian
-3.953 -4.952 3.079
-1.872 -3.438 2.709
-1.570 -5.879 3.550
-2.599 -4.081 5.121
0.000 0.000 0.000
-3.748 -6.881 5.422
```

## Properties
formation energy from raw total energies: 82.03 kJ/mol of atoms
symmetry: No. 216
uncorrected energy: -0.230 Ha/atom

---

## AlRuCl2 (PBE-GGA)

Data for an optimized crystal structure of AlRuCl2.

Cell and atoms, written as POSCAR:
```
AlRuCl2
1.0
7.581 -0.003 0.029
6.931 3.071 0.029
1.025 0.217 3.956
Al Cl Ru
1 2 1
Cartesian
3.884 0.821 1.003
2.598 0.549 3.536
6.196 1.310 2.427
11.653 2.464 3.010
```

## Properties
energy above the lowest structure with this stoichiometry: 244 meV per atom
formation energy from raw total energies: -24.17 kJ/mol of atoms
symmetry: No. 12
uncorrected energy: -0.163 Ha/atom

---

## AlRuCl2 (PBE-GGA)

Data for an optimized crystal structure of AlRuCl2.

Cell and atoms, written as POSCAR:
```
AlRuCl2
1.0
0.000 3.368 3.368
3.368 0.000 3.368
3.368 3.368 0.000
Cl Ru Al
2 1 1
Cartesian
5.052 5.052 5.052
1.684 1.684 1.684
3.368 3.368 3.368
0.000 0.000 0.000
```

## Properties
energy above the lowest structure with this stoichiometry: 951 meV per atom
formation energy from raw total energies: 43.96 kJ/mol of atoms
symmetry: No. 225
uncorrected energy: -0.137 Ha/atom

---

## AlRuCl2 (PBE-GGA)

Data for an optimized crystal structure of AlRuCl2.

Cell and atoms, written as POSCAR:
```
AlRuCl2
1.0
3.311 0.003 0.000
-1.904 2.708 0.000
0.000 0.000 9.304
Ru Al Cl
1 1 2
Cartesian
0.000 0.000 4.825
0.703 1.356 6.800
0.703 1.356 3.049
0.000 0.000 8.586
```

## Properties
energy above the lowest structure with this stoichiometry: 223 meV per atom
formation energy from raw total energies: -26.28 kJ/mol of atoms
symmetry: No. 35
uncorrected energy: -0.164 Ha/atom

---

## AlRuCl2 (PBE-GGA)

Data for an optimized crystal structure of AlRuCl2.

Cell and atoms, written as POSCAR:
```
AlRuCl2
1.0
3.302 0.001 0.011
1.904 2.698 0.011
2.966 1.538 9.056
Al Cl Ru
1 2 1
Cartesian
2.201 1.141 2.504
6.436 3.337 6.076
5.078 2.633 0.775
3.750 1.945 4.283
```

## Properties
energy above the lowest structure with this stoichiometry: 0 meV per atom
formation energy from raw total energies: -47.76 kJ/mol of atoms
symmetry: No. 8
uncorrected energy: -0.172 Ha/atom

---

## AlRuCl2 (PBE-GGA)

Data for an optimized crystal structure of AlRuCl2.

Cell and atoms, written as POSCAR:
```
AlRuCl2
1.0
3.094 0.000 0.000
0.000 3.749 0.011
0.000 0.974 7.534
Cl Ru Al
2 1 1
Cartesian
0.000 0.895 6.780
1.547 1.812 2.505
0.000 1.748 4.381
1.547 3.603 5.184
```

## Properties
energy above the lowest structure with this stoichiometry: 100 meV per atom
formation energy from raw total energies: -38.11 kJ/mol of atoms
symmetry: No. 6
uncorrected energy: -0.168 Ha/atom

---

## AlRuCl2 (PBE-GGA)

Data for an optimized crystal structure of AlRuCl2.

Cell and atoms, written as POSCAR:
```
AlRuCl2
1.0
-2.322 -1.908 -0.715
2.883 -2.192 -3.508
3.585 -4.416 0.145
Cl Ru Al
2 1 1
Cartesian
0.000 0.000 0.000
0.281 -2.050 -2.112
2.073 -4.258 -2.039
1.793 -2.208 0.072
```

## Properties
energy above the lowest structure with this stoichiometry: 759 meV per atom
formation energy from raw total energies: 25.46 kJ/mol of atoms
symmetry: No. 10
uncorrected energy: -0.144 Ha/atom

---

## AlRuCl2 (PBE-GGA)

Data for an optimized crystal structure of AlRuCl2.

Cell and atoms, written as POSCAR:
```
AlRuCl2
1.0
3.011 0.000 0.000
0.000 3.011 0.000
0.000 0.000 8.564
Ru Cl Al
1 2 1
Cartesian
0.000 0.000 4.539
0.000 0.000 7.818
1.506 1.506 2.938
1.506 1.506 6.116
```

## Properties
energy above the lowest structure with this stoichiometry: 308 meV per atom
formation energy from raw total energies: -18.00 kJ/mol of atoms
symmetry: No. 99
uncorrected energy: -0.160 Ha/atom

---

## AlRuCl2 (PBE-GGA)

Data for an optimized crystal structure of AlRuCl2.

Cell and atoms, written as POSCAR:
```
AlRuCl2
1.0
-1.075 1.360 2.694
2.748 -1.629 -0.245
4.310 7.585 -2.109
Ru Cl Al
1 2 1
Cartesian
1.914 1.762 0.697
0.181 0.319 -0.089
1.974 3.474 -0.966
4.068 5.554 -0.357
```

## Properties
energy above the lowest structure with this stoichiometry: 702 meV per atom
formation energy from raw total energies: 19.97 kJ/mol of atoms
symmetry: No. 65
uncorrected energy: -0.146 Ha/atom

---

## AlRuCl2 (PBE-GGA)

Data for an optimized crystal structure of AlRuCl2.

Cell and atoms, written as POSCAR:
```
AlRuCl2
1.0
5.406 -5.736 4.987
7.395 -3.565 4.428
5.517 -3.316 6.750
Al Ru Cl
1 1 2
Cartesian
9.159 -6.309 8.082
0.000 0.000 0.000
16.815 -11.582 14.838
1.503 -1.036 1.327
```

## Properties
energy above the lowest structure with this stoichiometry: 661 meV per atom
formation energy from raw total energies: 16.07 kJ/mol of atoms
symmetry: No. 166
uncorrected energy: -0.147 Ha/atom

---

## AlRuS2Cl (PBE-GGA)

Data for an optimized crystal structure of AlRuS2Cl.

Cell and atoms, written as POSCAR:
```
AlRuS2Cl
1.0
-3.436 -1.753 2.482
2.796 -0.356 3.619
-1.302 4.619 1.461
S Cl Ru Al
2 1 1 1
Cartesian
-1.718 -0.877 1.241
1.398 -0.178 1.809
-0.651 2.309 0.730
0.000 0.000 0.000
-0.971 1.254 3.781
```

## Properties
energy above the lowest structure with this stoichiometry: 0 meV per atom
formation energy from raw total energies: 15.73 kJ/mol of atoms
symmetry: No. 123
uncorrected energy: -0.164 Ha/atom

---

## AlRuS2Cl (PBE-GGA)

Data for an optimized crystal structure of AlRuS2Cl.

Cell and atoms, written as POSCAR:
```
AlRuS2Cl
1.0
4.643 0.000 0.000
0.000 4.643 0.000
0.000 0.000 4.593
Cl Ru S Al
1 1 2 1
Cartesian
0.000 0.000 2.297
2.322 2.322 2.297
0.000 2.322 0.000
2.322 0.000 0.000
0.000 0.000 0.000
```

## Properties
energy above the lowest structure with this stoichiometry: 203 meV per atom
formation energy from raw total energies: 35.29 kJ/mol of atoms
symmetry: No. 123
uncorrected energy: -0.156 Ha/atom

---

## AlRuSCl2 (PBE-GGA)

Data for an optimized crystal structure of AlRuSCl2.

Cell and atoms, written as POSCAR:
```
AlRuSCl2
1.0
5.064 0.000 0.000
0.000 5.064 0.000
0.000 0.000 4.398
Cl Al S Ru
2 1 1 1
Cartesian
2.532 0.000 0.000
0.000 2.532 0.000
2.532 2.532 2.199
0.000 0.000 2.199
0.000 0.000 0.000
```

## Properties
energy above the lowest structure with this stoichiometry: 0 meV per atom
formation energy from raw total energies: -2.14 kJ/mol of atoms
symmetry: No. 123
uncorrected energy: -0.154 Ha/atom

---

## AlRuSCl2 (PBE-GGA)

Data for an optimized crystal structure of AlRuSCl2.

Cell and atoms, written as POSCAR:
```
AlRuSCl2
1.0
4.636 0.000 0.000
0.000 4.636 0.000
0.000 0.000 4.754
S Cl Al Ru
1 2 1 1
Cartesian
0.000 0.000 2.377
0.000 2.318 0.000
2.318 0.000 0.000
0.000 0.000 0.000
2.318 2.318 2.377
```

## Properties
energy above the lowest structure with this stoichiometry: 242 meV per atom
formation energy from raw total energies: 21.23 kJ/mol of atoms
symmetry: No. 123
uncorrected energy: -0.145 Ha/atom